# PBE Rb2TaCF6, relaxed
data_Rb2TaCF6
_symmetry_space_group_name_H-M 'I 4/m m m'
_symmetry_Int_Tables_number 139
_symmetry_space_group_name_Hall '-I 4 2'
_cell_length_a 6.887
_cell_length_b 6.887
_cell_length_c 9.774
_cell_angle_alpha 90.00
_cell_angle_beta 90.00
_cell_angle_gamma 90.00
loop_
_atom_site_label
_atom_site_type_symbol
_atom_site_fract_x
_atom_site_fract_y
_atom_site_fract_z
Rb1 Rb 0.000 0.500 0.250
Ta1 Ta 0.000 0.000 0.000
C1 C 0.000 0.000 0.500
F1 F 0.000 0.000 0.198
F2 F 0.199 0.199 0.000
# Uncorrected formation energy ... -1902 kJ/mol of formula units
# Crystal system ... tetragonal
# N(E_F) ... 0.000 states/eV per atom


# PBE RbDyI3, relaxed
data_RbDyI3
_symmetry_space_group_name_H-M 'C m c m'
_symmetry_Int_Tables_number 63
_symmetry_space_group_name_Hall '-C 2c 2'
_cell_length_a 4.178
_cell_length_b 16.501
_cell_length_c 11.826
_cell_angle_alpha 90.00
_cell_angle_beta 90.00
_cell_angle_gamma 90.00
loop_
_atom_site_label
_atom_site_type_symbol
_atom_site_fract_x
_atom_site_fract_y
_atom_site_fract_z
Rb1 Rb 0.000 0.241 0.250
Dy1 Dy 0.000 0.500 0.000
I1 I 0.000 0.136 0.549
I2 I 0.000 0.448 0.750
# E above lowest polymorph ... 0.0 kJ/mol of formula units
# Uncorrected formation energy ... -592 kJ/mol of formula units
# Crystal system ... orthorhombic
# N(E_F) ... 0.622 states/eV per atom


# PBE La2DyEr4Tm, relaxed
data_La2DyEr4Tm
_symmetry_space_group_name_H-M 'C 1 2/c 1'
_symmetry_Int_Tables_number 15
_symmetry_space_group_name_Hall '-C 2yc'
_cell_length_a 13.633
_cell_length_b 13.234
_cell_length_c 6.783
_cell_angle_alpha 90.00
_cell_angle_beta 119.83
_cell_angle_gamma 90.00
loop_
_atom_site_label
_atom_site_type_symbol
_atom_site_fract_x
_atom_site_fract_y
_atom_site_fract_z
La1 La 0.000 0.000 0.000
La2 La 0.250 0.250 0.000
Dy1 Dy 0.250 0.250 0.500
Er1 Er 0.000 0.255 0.003
Er2 Er 0.244 0.499 0.493
Tm1 Tm 0.000 0.500 0.000
# Energy of formation ... 0.4177 eV/atom
# Crystal system ... monoclinic
# N(E_F) ... 2.445 states/eV per atom


# PBE SrSc, relaxed
data_SrSc
_symmetry_space_group_name_H-M 'P 63 m c'
_symmetry_Int_Tables_number 186
_symmetry_space_group_name_Hall 'P 6c -2c'
_cell_length_a 3.5760
_cell_length_b 3.5760
_cell_length_c 12.7890
_cell_angle_alpha 90.00
_cell_angle_beta 90.00
_cell_angle_gamma 120.00
loop_
_atom_site_label
_atom_site_type_symbol
_atom_site_fract_x
_atom_site_fract_y
_atom_site_fract_z
Sr1 Sr 0.3333 0.6667 0.0000
Sc1 Sc 0.3333 0.6667 0.7368
# E above lowest polymorph ... 64.5 kJ/mol of formula units
# Energy of formation ... 0.5288 eV/atom
# Crystal system ... hexagonal
# N(E_F) ... 1.872 states/eV per atom


# PBE Zr3NiMo, relaxed
data_Zr3NiMo
_symmetry_space_group_name_H-M 'P m -3 m'
_symmetry_Int_Tables_number 221
_symmetry_space_group_name_Hall '-P 4 2 3'
_cell_length_a 4.781
_cell_length_b 4.781
_cell_length_c 4.781
_cell_angle_alpha 90.00
_cell_angle_beta 90.00
_cell_angle_gamma 90.00
loop_
_atom_site_label
_atom_site_type_symbol
_atom_site_fract_x
_atom_site_fract_y
_atom_site_fract_z
Zr1 Zr 0.000 0.000 0.500
Ni1 Ni 0.000 0.000 0.000
Mo1 Mo 0.500 0.500 0.500
# E above lowest polymorph ... 0.0 kJ/mol of formula units
# Energy of formation ... 0.6089 eV/atom
# Crystal system ... cubic
# N(E_F) ... 1.733 states/eV per atom


# PBE CaHgAu2, relaxed
data_CaHgAu2
_symmetry_space_group_name_H-M 'R 3 m'
_symmetry_Int_Tables_number 160
_symmetry_space_group_name_Hall 'R 3 -2"'
_cell_length_a 4.8604
_cell_length_b 4.8604
_cell_length_c 13.2615
_cell_angle_alpha 90.00
_cell_angle_beta 90.00
_cell_angle_gamma 120.00
loop_
_atom_site_label
_atom_site_type_symbol
_atom_site_fract_x
_atom_site_fract_y
_atom_site_fract_z
Ca1 Ca 0.0000 0.0000 0.0000
Hg1 Hg 0.0000 0.0000 0.2329
Au1 Au 0.0000 0.0000 0.4763
Au2 Au 0.0000 0.0000 0.7658
# Energy of formation ... -0.4681 eV/atom
# Crystal system ... trigonal
# N(E_F) ... 0.374 states/eV per atom


# PBE Pr6RuPt2, relaxed
data_Pr6RuPt2
_symmetry_space_group_name_H-M 'P 1 21/c 1'
_symmetry_Int_Tables_number 14
_symmetry_space_group_name_Hall '-P 2ybc'
_cell_length_a 6.890
_cell_length_b 7.555
_cell_length_c 12.117
_cell_angle_alpha 90.00
_cell_angle_beta 120.22
_cell_angle_gamma 90.00
loop_
_atom_site_label
_atom_site_type_symbol
_atom_site_fract_x
_atom_site_fract_y
_atom_site_fract_z
Pr1 Pr 0.090 0.047 0.250
Pr2 Pr 0.249 0.679 0.076
Pr3 Pr 0.394 0.182 0.067
Ru1 Ru 0.000 0.000 0.000
Pt1 Pt 0.326 0.114 0.771
# Energy of formation ... -0.5640 eV/atom
# Crystal system ... monoclinic
# N(E_F) ... 0.987 states/eV per atom


# PBE NbPd, relaxed
data_NbPd
_symmetry_space_group_name_H-M 'P 63/m m c'
_symmetry_Int_Tables_number 194
_symmetry_space_group_name_Hall '-P 6c 2c'
_cell_length_a 4.4956
_cell_length_b 4.4956
_cell_length_c 5.1768
_cell_angle_alpha 90.00
_cell_angle_beta 90.00
_cell_angle_gamma 120.00
loop_
_atom_site_label
_atom_site_type_symbol
_atom_site_fract_x
_atom_site_fract_y
_atom_site_fract_z
Nb1 Nb 0.3333 0.6667 0.2500
Pd1 Pd 0.3333 0.6667 0.7500
# Energy of formation ... 0.7200 eV/atom
# Crystal system ... hexagonal
# N(E_F) ... 1.407 states/eV per atom


# PBE KAlBi2Au, relaxed
data_KAlBi2Au
_symmetry_space_group_name_H-M 'P 4/m m m'
_symmetry_Int_Tables_number 123
_symmetry_space_group_name_Hall '-P 4 2'
_cell_length_a 5.997
_cell_length_b 5.997
_cell_length_c 5.640
_cell_angle_alpha 90.00
_cell_angle_beta 90.00
_cell_angle_gamma 90.00
loop_
_atom_site_label
_atom_site_type_symbol
_atom_site_fract_x
_atom_site_fract_y
_atom_site_fract_z
K1 K 0.000 0.000 0.000
Al1 Al 0.000 0.000 0.500
Bi1 Bi 0.000 0.500 0.000
Au1 Au 0.500 0.500 0.500
# Energy of formation ... 1.3670 eV/atom
# Crystal system ... tetragonal
# N(E_F) ... 1.309 states/eV per atom


# PBE BeInSb2, relaxed
data_BeInSb2
_symmetry_space_group_name_H-M 'C m m 2'
_symmetry_Int_Tables_number 35
_symmetry_space_group_name_Hall 'C 2 -2'
_cell_length_a 3.883
_cell_length_b 5.096
_cell_length_c 9.327
_cell_angle_alpha 90.00
_cell_angle_beta 90.00
_cell_angle_gamma 90.00
loop_
_atom_site_label
_atom_site_type_symbol
_atom_site_fract_x
_atom_site_fract_y
_atom_site_fract_z
Be1 Be 0.000 0.000 0.000
In1 In 0.000 0.500 0.799
Sb1 Sb 0.000 0.000 0.516
Sb2 Sb 0.000 0.500 0.183
# E above lowest polymorph ... 107.8 kJ/mol of formula units
# Uncorrected formation energy ... 144 kJ/mol of formula units
# Crystal system ... orthorhombic
# N(E_F) ... 0.394 states/eV per atom


# PBE NaTiPd2Au, relaxed
data_NaTiPd2Au
_symmetry_space_group_name_H-M 'P 4/m m m'
_symmetry_Int_Tables_number 123
_symmetry_space_group_name_Hall '-P 4 2'
_cell_length_a 5.143
_cell_length_b 5.143
_cell_length_c 4.702
_cell_angle_alpha 90.00
_cell_angle_beta 90.00
_cell_angle_gamma 90.00
loop_
_atom_site_label
_atom_site_type_symbol
_atom_site_fract_x
_atom_site_fract_y
_atom_site_fract_z
Na1 Na 0.000 0.000 0.000
Ti1 Ti 0.500 0.500 0.000
Pd1 Pd 0.000 0.500 0.500
Au1 Au 0.500 0.500 0.500
# Energy of formation ... 0.6222 eV/atom
# Crystal system ... tetragonal
# N(E_F) ... 1.572 states/eV per atom


# PBE LiPuNp2Te4, relaxed
data_LiPuNp2Te4
_symmetry_space_group_name_H-M 'P 1 2/m 1'
_symmetry_Int_Tables_number 10
_symmetry_space_group_name_Hall '-P 2y'
_cell_length_a 7.635
_cell_length_b 4.374
_cell_length_c 7.659
_cell_angle_alpha 90.00
_cell_angle_beta 109.55
_cell_angle_gamma 90.00
loop_
_atom_site_label
_atom_site_type_symbol
_atom_site_fract_x
_atom_site_fract_y
_atom_site_fract_z
Li1 Li 0.000 0.000 0.000
Pu1 Pu 0.500 0.500 0.000
Np1 Np 0.000 0.500 0.500
Np2 Np 0.500 0.000 0.500
Te1 Te 0.241 0.500 0.242
Te2 Te 0.245 0.000 0.753
# Uncorrected formation energy ... -592 kJ/mol of formula units
# Crystal system ... monoclinic
# N(E_F) ... 4.004 states/eV per atom


# PBE Sm3Y2Er, relaxed
data_Sm3Y2Er
_symmetry_space_group_name_H-M 'C m c m'
_symmetry_Int_Tables_number 63
_symmetry_space_group_name_Hall '-C 2c 2'
_cell_length_a 10.805
_cell_length_b 6.235
_cell_length_c 11.598
_cell_angle_alpha 90.00
_cell_angle_beta 90.00
_cell_angle_gamma 90.00
loop_
_atom_site_label
_atom_site_type_symbol
_atom_site_fract_x
_atom_site_fract_y
_atom_site_fract_z
Sm1 Sm 0.000 0.000 0.000
Sm2 Sm 0.165 0.500 0.000
Y1 Y 0.167 0.166 0.250
Er1 Er 0.000 0.334 0.750
# E above lowest polymorph ... 0.0 kJ/mol of formula units
# Energy of formation ... -0.0023 eV/atom
# Crystal system ... orthorhombic
# N(E_F) ... 1.242 states/eV per atom